A relaxed structure of Pu2HfO11, computed with PBE.

Values from the calculation:
- DFT total energy (eV per atom) = -8.667
- DOS at the Fermi energy (states/eV/f.u.) = 9.73

Unit cell a=7.939 b=7.958 c=9.187 alpha=106.31 beta=106.36 gamma=109.61
Fractional coordinates of all 28 atoms:
Pu 0.000 0.000 0.000
Pu 0.195 0.694 0.495
Pu 0.432 0.433 0.992
Pu 0.756 0.260 0.496
Hf 0.236 0.212 0.496
Hf 0.480 0.954 0.997
O 0.091 0.577 0.271
O 0.114 0.121 0.236
O 0.159 0.263 0.986
O 0.172 0.935 0.481
O 0.215 0.927 0.009
O 0.277 0.490 0.510
O 0.327 0.827 0.732
O 0.330 0.328 0.756
O 0.422 0.686 0.999
O 0.502 0.824 0.452
O 0.505 0.219 0.987
O 0.514 0.282 0.509
O 0.547 0.542 0.216
O 0.614 0.108 0.261
O 0.638 0.980 0.574
O 0.744 0.555 0.950
O 0.749 0.015 0.992
O 0.881 0.711 0.070
O 0.882 0.386 0.720
O 0.883 0.866 0.777
O 0.919 0.523 0.485
O 0.960 0.176 0.486


A relaxed structure of Rb2Pu3HfO12, computed with PBE.

Values from the calculation:
- DFT total energy (eV per atom) = -8.958
- DOS at the Fermi energy (states/eV/f.u.) = 11.76

Unit cell a=7.643 b=7.643 c=7.643 alpha=61.94 beta=61.94 gamma=61.94
Fractional coordinates of all 18 atoms:
Rb 0.135 0.135 0.135
Rb 0.865 0.865 0.865
Pu 0.000 0.500 0.500
Pu 0.500 0.000 0.500
Pu 0.500 0.500 0.000
Hf 0.500 0.500 0.500
O 0.183 0.183 0.561
O 0.183 0.561 0.183
O 0.184 0.565 0.565
O 0.435 0.435 0.816
O 0.435 0.816 0.435
O 0.439 0.817 0.817
O 0.561 0.183 0.183
O 0.565 0.184 0.565
O 0.565 0.565 0.184
O 0.816 0.435 0.435
O 0.817 0.439 0.817
O 0.817 0.817 0.439


A relaxed structure of Rb3Pu2HfO9, computed with PBE.

Values from the calculation:
- DFT total energy (eV per atom) = -8.328
- DOS at the Fermi energy (states/eV/f.u.) = 8.40

Unit cell a=6.007 b=6.007 c=7.372 alpha=90.00 beta=90.00 gamma=120.00
Fractional coordinates of all 15 atoms:
Rb 0.000 0.000 0.000
Rb 0.333 0.667 0.664
Rb 0.667 0.333 0.336
Pu 0.333 0.667 0.172
Pu 0.667 0.333 0.828
Hf 0.000 0.000 0.500
O 0.000 0.500 0.000
O 0.166 0.332 0.334
O 0.166 0.834 0.334
O 0.332 0.166 0.666
O 0.500 0.000 0.000
O 0.500 0.500 0.000
O 0.668 0.834 0.334
O 0.834 0.166 0.666
O 0.834 0.668 0.666


A relaxed structure of PuHfScO6, computed with PBE.

Values from the calculation:
- DFT total energy (eV per atom) = -9.792
- DOS at the Fermi energy (states/eV/f.u.) = 9.03

Unit cell a=5.500 b=5.500 c=9.061 alpha=90.00 beta=90.00 gamma=120.00
Fractional coordinates of all 18 atoms:
Pu 0.333 0.667 0.250
Pu 0.667 0.333 0.750
Hf 0.333 0.667 0.750
Hf 0.667 0.333 0.250
Sc 0.000 0.000 0.000
Sc 0.000 0.000 0.500
O 0.007 0.339 0.631
O 0.007 0.668 0.869
O 0.332 0.339 0.869
O 0.332 0.993 0.631
O 0.339 0.007 0.131
O 0.339 0.332 0.369
O 0.661 0.668 0.631
O 0.661 0.993 0.869
O 0.668 0.007 0.369
O 0.668 0.661 0.131
O 0.993 0.332 0.131
O 0.993 0.661 0.369


A relaxed structure of PuHfSe2O, computed with PBE.

Values from the calculation:
- DFT total energy (eV per atom) = -9.103
- DOS at the Fermi energy (states/eV/f.u.) = 5.78

Unit cell a=3.805 b=3.805 c=13.434 alpha=90.00 beta=90.00 gamma=90.00
Fractional coordinates of all 10 atoms:
Pu 0.250 0.250 0.095
Pu 0.750 0.750 0.905
Hf 0.250 0.250 0.585
Hf 0.750 0.750 0.415
Se 0.250 0.250 0.380
Se 0.250 0.250 0.790
Se 0.750 0.750 0.210
Se 0.750 0.750 0.620
O 0.250 0.750 0.000
O 0.750 0.250 0.000


A relaxed structure of SrPuHf2O8, computed with PBE.

Values from the calculation:
- DFT total energy (eV per atom) = -9.327
- DOS at the Fermi energy (states/eV/f.u.) = 5.59

Unit cell a=5.072 b=5.072 c=6.715 alpha=90.00 beta=90.00 gamma=91.45
Fractional coordinates of all 12 atoms:
Sr 0.000 0.000 0.000
Pu 0.000 0.000 0.500
Hf 0.500 0.500 0.246
Hf 0.500 0.500 0.754
O 0.206 0.206 0.290
O 0.206 0.206 0.710
O 0.306 0.694 0.500
O 0.330 0.670 0.000
O 0.670 0.330 0.000
O 0.694 0.306 0.500
O 0.794 0.794 0.290
O 0.794 0.794 0.710


A relaxed structure of Sr2PuHfO6, computed with PBE.

Values from the calculation:
- DFT total energy (eV per atom) = -8.842
- DOS at the Fermi energy (states/eV/f.u.) = 3.74

Unit cell a=4.235 b=4.235 c=8.610 alpha=90.00 beta=90.00 gamma=90.00
Fractional coordinates of all 10 atoms:
Sr 0.000 0.000 0.233
Sr 0.000 0.000 0.767
Pu 0.500 0.500 0.500
Hf 0.500 0.500 0.000
O 0.000 0.500 0.000
O 0.000 0.500 0.500
O 0.500 0.000 0.000
O 0.500 0.000 0.500
O 0.500 0.500 0.238
O 0.500 0.500 0.762


A relaxed structure of PuHfTaO6, computed with PBE.

Values from the calculation:
- DFT total energy (eV per atom) = -10.434
- DOS at the Fermi energy (states/eV/f.u.) = 8.23

Unit cell a=5.395 b=5.395 c=9.968 alpha=90.00 beta=90.00 gamma=120.00
Fractional coordinates of all 18 atoms:
Pu 0.000 0.000 0.000
Pu 0.000 0.000 0.500
Hf 0.333 0.667 0.250
Hf 0.667 0.333 0.750
Ta 0.333 0.667 0.750
Ta 0.667 0.333 0.250
O 0.011 0.365 0.640
O 0.011 0.646 0.860
O 0.354 0.365 0.860
O 0.354 0.989 0.640
O 0.365 0.011 0.140
O 0.365 0.354 0.360
O 0.635 0.646 0.640
O 0.635 0.989 0.860
O 0.646 0.011 0.360
O 0.646 0.635 0.140
O 0.989 0.354 0.140
O 0.989 0.635 0.360